Record 1
First-principles (PBE) data for a relaxed PmZnCd2 crystal, as listed in Alexandria via LeMat-Bulk.

extended XYZ file:
```
4
Lattice="3.508 0.000 0.000 0.000 3.508 0.000 0.000 0.000 7.550" Properties=species:S:1:pos:R:3 pbc="T T T"
Pm 0.000 0.000 0.000
Zn 0.000 0.000 3.775
Cd 1.754 1.754 2.186
Cd 1.754 1.754 5.364
```

## Properties
**E_tot**: -0.155 Ry/atom
**ΔE to the lowest computed polymorph**: 0.151 eV/atom
**DOS at the Fermi energy**: 2.8 states/eV per cell
**Energy of formation from the pure elements**: -0.14 eV per atom
**SG**: P4/mmm (123)
**Calculated volume**: 23.22 A^3/atom
**Size of the total moment**: 0.01 μB per formula unit

Record 2
First-principles (PBE) data for a relaxed SbIrW3 crystal, as listed in Alexandria via LeMat-Bulk.

extended XYZ file:
```
5
Lattice="4.803 0.000 0.000 0.000 4.803 0.000 0.000 0.000 4.803" Properties=species:S:1:pos:R:3 pbc="T T T"
Sb 0.000 0.000 0.000
Ir 2.402 2.402 2.402
W 0.000 2.402 2.402
W 2.402 0.000 2.402
W 2.402 2.402 0.000
```

## Properties
**E_tot**: -0.629 Ry/atom
**ΔE to the lowest computed polymorph**: 0.000 eV/atom
**DOS at the Fermi energy**: 7.1 states/eV per cell
**SG**: Pm-3m (221)
**Calculated volume**: 22.16 A^3/atom
**Size of the total moment**: 0.00 μB per formula unit

Q: Which formula does entry 1 have?
A: PmZnCd2

Q: Which formula does entry 2 have?
A: SbIrW3

Q: Which formula does entry 1 have?
A: PmZnCd2

Q: Look up the size of the total moment of the first one.
A: 0.01 μB per formula unit